{"formula": "Sm3Ho3CoTe2", "functional": "PBE", "state": "optimized geometry", "polymorph_energy_mev_per_atom": 0, "spacegroup": "No. 189", "lattice": [[-6.184, -5.452, 1.635], [6.803, -2.511, -4.250], [1.775, -0.986, 3.424]], "species": ["Ho", "Ho", "Ho", "Sm", "Sm", "Sm", "Te", "Te", "Co"], "frac_coords": [[0.768, 0.000, 0.500], [0.232, 0.232, 0.500], [0.000, 0.768, 0.500], [0.000, 0.405, 0.000], [0.405, 0.000, 0.000], [0.595, 0.595, 0.000], [0.333, 0.667, 0.500], [0.667, 0.333, 0.500], [0.000, 0.000, 0.000]]}

***

{"formula": "NaHoSn", "functional": "PBE", "state": "optimized geometry", "e_tot_ry_per_atom": -0.2410, "spacegroup": "No. 216", "lattice": [[2.318, 1.609, 4.259], [-2.601, 2.727, 3.450], [-1.213, -2.075, 4.509]], "species": ["Na", "Ho", "Sn"], "frac_coords": [[0.750, 0.750, 0.750], [0.000, 0.000, 0.000], [0.250, 0.250, 0.250]]}

***

{"formula": "Lu2MgIn", "functional": "PBE", "state": "optimized geometry", "polymorph_energy_mev_per_atom": 110, "spacegroup": "No. 194", "lattice": [[3.688, 2.006, -3.036], [-4.984, 1.068, -0.929], [0.600, 8.070, 6.059]], "species": ["Lu", "Lu", "Lu", "Lu", "Mg", "Mg", "In", "In"], "frac_coords": [[0.667, 0.333, 0.416], [0.333, 0.667, 0.584], [0.667, 0.333, 0.084], [0.333, 0.667, 0.916], [0.667, 0.333, 0.750], [0.333, 0.667, 0.250], [0.000, 0.000, 0.500], [0.000, 0.000, 0.000]]}

***

{"formula": "Y4Zr2Ga3C3", "functional": "PBE", "state": "optimized geometry", "e_tot_ry_per_atom": -0.5280, "spacegroup": "No. 15", "lattice": [[5.282, -3.047, 0.000], [5.282, 3.047, 0.000], [-3.684, 0.000, 14.657]], "species": ["Ga", "Ga", "Ga", "Ga", "Ga", "Ga", "C", "C", "C", "C", "C", "C", "Y", "Y", "Y", "Y", "Y", "Y", "Y", "Y", "Zr", "Zr", "Zr", "Zr"], "frac_coords": [[0.328, 0.415, 0.250], [0.672, 0.585, 0.750], [0.844, 0.156, 0.250], [0.156, 0.844, 0.750], [0.585, 0.672, 0.250], [0.415, 0.328, 0.750], [0.812, 0.344, 0.000], [0.656, 0.188, 0.500], [0.188, 0.656, 0.000], [0.000, 0.500, 0.500], [0.500, 0.000, 0.000], [0.344, 0.812, 0.500], [0.961, 0.804, 0.400], [0.300, 0.125, 0.400], [0.125, 0.300, 0.900], [0.875, 0.700, 0.100], [0.039, 0.196, 0.600], [0.700, 0.875, 0.600], [0.196, 0.039, 0.100], [0.804, 0.961, 0.900], [0.527, 0.352, 0.077], [0.473, 0.648, 0.923], [0.352, 0.527, 0.577], [0.648, 0.473, 0.423]]}

***

{"formula": "BeAg2Ir", "functional": "PBE", "state": "optimized geometry", "e_tot_ry_per_atom": -0.3120, "spacegroup": "No. 216", "lattice": [[0.000, 3.079, 3.079], [3.079, 0.000, 3.079], [3.079, 3.079, 0.000]], "species": ["Be", "Ag", "Ag", "Ir"], "frac_coords": [[0.500, 0.500, 0.500], [0.750, 0.750, 0.750], [0.000, 0.000, 0.000], [0.250, 0.250, 0.250]]}

***

{"formula": "NaErTe2O8", "functional": "PBE", "state": "optimized geometry", "e_tot_ry_per_atom": -0.4343, "spacegroup": "No. 82", "lattice": [[-2.584, 2.584, 5.544], [2.584, -2.584, 5.544], [2.584, 2.584, -5.544]], "species": ["Te", "Te", "O", "O", "O", "O", "O", "O", "O", "O", "Na", "Er"], "frac_coords": [[0.750, 0.250, 0.500], [0.500, 0.500, 0.000], [0.668, 0.092, 0.080], [0.012, 0.588, 0.920], [0.908, 0.988, 0.576], [0.832, 0.402, 0.063], [0.598, 0.661, 0.430], [0.231, 0.168, 0.570], [0.412, 0.332, 0.424], [0.339, 0.769, 0.937], [0.250, 0.750, 0.500], [0.000, 0.000, 0.000]]}

***

{"formula": "Zn3SiNi2", "functional": "PBE", "state": "optimized geometry", "e_tot_ry_per_atom": -0.2737, "spacegroup": "No. 227", "lattice": [[-5.351, 0.000, 5.351], [0.000, -5.351, -5.351], [5.351, 0.000, 5.351]], "species": ["Si", "Si", "Si", "Si", "Zn", "Zn", "Zn", "Zn", "Zn", "Zn", "Zn", "Zn", "Zn", "Zn", "Zn", "Zn", "Ni", "Ni", "Ni", "Ni", "Ni", "Ni", "Ni", "Ni"], "frac_coords": [[0.875, 0.250, 0.625], [0.375, 0.750, 0.125], [0.375, 0.250, 0.625], [0.375, 0.750, 0.625], [0.936, 0.500, 0.064], [0.936, 0.500, 0.436], [0.186, 0.372, 0.186], [0.186, 0.000, 0.814], [0.564, 0.500, 0.064], [0.814, 0.000, 0.814], [0.814, 0.000, 0.186], [0.814, 0.628, 0.814], [0.564, 0.128, 0.064], [0.936, 0.872, 0.436], [0.564, 0.500, 0.436], [0.186, 0.000, 0.186], [0.164, 0.328, 0.491], [0.586, 0.828, 0.414], [0.164, 0.328, 0.836], [0.586, 0.172, 0.759], [0.241, 0.828, 0.414], [0.164, 0.672, 0.836], [0.586, 0.172, 0.414], [0.509, 0.672, 0.836]]}

***

{"formula": "BaNdPBr", "functional": "PBE", "state": "optimized geometry", "e_tot_ry_per_atom": -0.3628, "spacegroup": "No. 160", "lattice": [[-7.560, 0.980, 2.858], [-5.882, -2.321, 5.129], [-4.936, 1.774, 6.227]], "species": ["P", "Ba", "Br", "Nd"], "frac_coords": [[0.490, 0.490, 0.490], [0.238, 0.238, 0.238], [0.009, 0.009, 0.009], [0.764, 0.764, 0.764]]}

***

{"formula": "Ba3Zr4", "functional": "PBE", "state": "optimized geometry", "polymorph_energy_mev_per_atom": 192, "spacegroup": "No. 176", "lattice": [[6.314, 7.292, 0.000], [-3.157, 9.114, 0.000], [0.000, 0.000, 5.673]], "species": ["Ba", "Ba", "Ba", "Ba", "Ba", "Ba", "Zr", "Zr", "Zr", "Zr", "Zr", "Zr", "Zr", "Zr"], "frac_coords": [[0.672, 0.647, 0.500], [0.219, 0.823, 0.500], [0.305, 0.558, 0.000], [0.394, 0.101, 0.500], [0.852, 0.733, 0.000], [0.129, 0.280, 0.000], [0.095, 0.524, 0.500], [0.429, 0.857, 0.000], [0.613, 0.136, 0.000], [0.816, 0.988, 0.500], [0.559, 0.339, 0.500], [0.964, 0.042, 0.000], [0.708, 0.393, 0.000], [0.910, 0.244, 0.500]]}

***

{"formula": "ZnSn2H12O6F6", "functional": "PBE", "state": "optimized geometry", "e_tot_ry_per_atom": -0.3253, "spacegroup": "No. 2", "lattice": [[6.570, 0.202, 0.350], [1.423, 5.963, 0.086], [-1.724, -0.978, 6.327]], "species": ["O", "O", "O", "O", "O", "O", "Sn", "Sn", "H", "H", "H", "H", "H", "H", "H", "H", "H", "H", "H", "H", "F", "F", "F", "F", "F", "F", "Zn"], "frac_coords": [[0.751, 0.278, 0.699], [0.917, 0.121, 0.282], [0.104, 0.674, 0.107], [0.896, 0.326, 0.893], [0.249, 0.722, 0.301], [0.083, 0.879, 0.718], [0.656, 0.693, 0.538], [0.344, 0.307, 0.462], [0.889, 0.292, 0.294], [0.826, 0.122, 0.643], [0.544, 0.744, 0.008], [0.456, 0.256, 0.992], [0.793, 0.072, 0.311], [0.006, 0.377, 0.836], [0.207, 0.928, 0.689], [0.524, 0.332, 0.979], [0.174, 0.878, 0.357], [0.111, 0.708, 0.706], [0.994, 0.623, 0.164], [0.476, 0.668, 0.021], [0.744, 0.863, 0.847], [0.355, 0.015, 0.606], [0.106, 0.456, 0.689], [0.894, 0.544, 0.311], [0.645, 0.985, 0.394], [0.256, 0.137, 0.153], [0.000, 0.000, 0.000]]}

***

{"formula": "ZrTaGaCo", "functional": "PBE", "state": "optimized geometry", "e_tot_ry_per_atom": -0.5498, "spacegroup": "No. 216", "lattice": [[1.486, -0.324, 4.289], [-2.776, -1.542, 3.259], [0.721, -4.092, 1.854]], "species": ["Zr", "Co", "Ta", "Ga"], "frac_coords": [[0.250, 0.250, 0.250], [0.750, 0.750, 0.750], [0.500, 0.500, 0.500], [0.000, 0.000, 0.000]]}

***

{"formula": "Sr2TaIrN2O4", "functional": "PBE", "state": "optimized geometry", "polymorph_energy_mev_per_atom": 5, "spacegroup": "No. 1", "lattice": [[-1.366, 4.937, 2.346], [-4.474, -2.409, 2.454], [4.487, -1.801, 6.362]], "species": ["O", "O", "O", "O", "O", "O", "O", "O", "Ta", "Ta", "Ir", "Ir", "N", "N", "N", "N", "Sr", "Sr", "Sr", "Sr"], "frac_coords": [[0.756, 0.242, 0.013], [0.713, 0.717, 0.514], [0.000, 0.518, 0.255], [0.287, 0.287, 0.492], [0.215, 0.790, 0.514], [0.503, 0.028, 0.747], [0.253, 0.250, 0.012], [0.784, 0.216, 0.491], [0.499, 0.997, 0.488], [0.000, 0.512, 0.993], [0.000, 0.504, 0.510], [0.500, 0.977, 0.004], [0.250, 0.755, 0.989], [0.499, 0.981, 0.249], [0.000, 0.488, 0.745], [0.745, 0.749, 0.990], [0.496, 0.486, 0.752], [0.003, 0.010, 0.244], [0.504, 0.489, 0.244], [0.994, 0.006, 0.753]]}

***

| no. | volume (Å³ per atom) |
| --- | --- |
| 1 | 27.06 |
| 2 | 31.44 |
| 3 | 29.37 |
| 4 | 19.65 |
| 5 | 14.60 |
| 6 | 12.33 |
| 7 | 12.77 |
| 8 | 31.63 |
| 9 | 32.65 |
| 10 | 9.25 |
| 11 | 16.65 |
| 12 | 12.70 |